## Zn2Ni6Ge (GGA-PBE)

Data for a geometry-optimized Zn2Ni6Ge structure.

**Total DFT energy (no corrections)**: -4.812 eV per atom

Cell: 6.865 6.865 2.606 Å, 90.00 90.00 120.00°
Atoms (fractional coordinates):
Zn1 0.333 0.667 0.000
Zn2 0.667 0.333 0.000
Ni1 0.000 0.366 0.500
Ni2 0.000 0.705 0.000
Ni3 0.295 0.295 0.000
Ni4 0.366 0.000 0.500
Ni5 0.634 0.634 0.500
Ni6 0.705 0.000 0.000
Ge1 0.000 0.000 0.500

---

## Zr2Ni5Ge3 (GGA-PBE)

Data for a geometry-optimized Zr2Ni5Ge3 structure.

**Total DFT energy (no corrections)**: -6.517 eV per atom

Cell: 11.487 11.487 6.344 Å, 90.00 90.00 159.97°
Atoms (fractional coordinates):
Zr1 0.016 0.984 0.500
Zr2 0.323 0.677 0.484
Zr3 0.677 0.323 0.984
Zr4 0.984 0.016 0.000
Ni1 0.111 0.889 0.199
Ni2 0.204 0.796 0.645
Ni3 0.220 0.780 0.241
Ni4 0.379 0.621 0.011
Ni5 0.450 0.550 0.317
Ni6 0.550 0.450 0.817
Ni7 0.621 0.379 0.511
Ni8 0.780 0.220 0.741
Ni9 0.796 0.204 0.145
Ni10 0.889 0.111 0.699
Ge1 0.107 0.893 0.794
Ge2 0.276 0.724 0.935
Ge3 0.446 0.554 0.709
Ge4 0.554 0.446 0.209
Ge5 0.724 0.276 0.435
Ge6 0.893 0.107 0.294

---

## ZrNi3Ge3 (GGA-PBE)

Data for a geometry-optimized ZrNi3Ge3 structure.

**Total DFT energy (no corrections)**: -5.509 eV per atom

Cell: 6.321 6.321 6.321 Å, 90.00 90.00 90.00°
Atoms (fractional coordinates):
Zr1 0.000 0.000 0.000
Zr2 0.500 0.500 0.500
Ni1 0.000 0.250 0.500
Ni2 0.000 0.750 0.500
Ni3 0.250 0.500 0.000
Ni4 0.500 0.000 0.250
Ni5 0.500 0.000 0.750
Ni6 0.750 0.500 0.000
Ge1 0.000 0.500 0.250
Ge2 0.000 0.500 0.750
Ge3 0.250 0.000 0.500
Ge4 0.500 0.250 0.000
Ge5 0.500 0.750 0.000
Ge6 0.750 0.000 0.500

---

## ZrNiGe (GGA-PBE)

Data for a geometry-optimized ZrNiGe structure.

**Total DFT energy (no corrections)**: -7.029 eV per atom

Cell: 4.110 4.110 3.293 Å, 90.00 90.00 120.00°
Atoms (fractional coordinates):
Zr1 0.000 0.000 0.000
Ni1 0.333 0.667 0.500
Ge1 0.667 0.333 0.500

---

## ZrNi3Ge (GGA-PBE)

Data for a geometry-optimized ZrNi3Ge structure.

**Relative energy among the computed polymorphs**: 541 meV/atom

Cell: 4.313 4.313 4.313 Å, 90.00 90.00 90.00°
Atoms (fractional coordinates):
Zr1 0.000 0.000 0.000
Ni1 0.000 0.500 0.500
Ni2 0.500 0.000 0.500
Ni3 0.500 0.500 0.000
Ge1 0.500 0.500 0.500

---

## ZrNiGe (GGA-PBE)

Data for a geometry-optimized ZrNiGe structure.

**Total DFT energy (no corrections)**: -6.729 eV per atom

Cell: 3.060 3.060 10.158 Å, 90.00 90.00 90.00°
Atoms (fractional coordinates):
Zr1 0.000 0.000 0.000
Zr2 0.500 0.500 0.500
Ni1 0.000 0.000 0.314
Ni2 0.500 0.500 0.814
Ge1 0.000 0.000 0.696
Ge2 0.500 0.500 0.196

---

## Zr2NiGe (GGA-PBE)

Data for a geometry-optimized Zr2NiGe structure.

**Total DFT energy (no corrections)**: -7.059 eV per atom

Cell: 7.193 7.193 5.889 Å, 90.00 90.00 90.00°
Atoms (fractional coordinates):
Zr1 0.228 0.250 0.125
Zr2 0.250 0.728 0.375
Zr3 0.250 0.772 0.875
Zr4 0.272 0.250 0.625
Zr5 0.728 0.750 0.625
Zr6 0.750 0.228 0.875
Zr7 0.750 0.272 0.375
Zr8 0.772 0.750 0.125
Ni1 0.000 0.000 0.000
Ni2 0.000 0.500 0.250
Ni3 0.500 0.000 0.750
Ni4 0.500 0.500 0.500
Ge1 0.000 0.000 0.500
Ge2 0.000 0.500 0.750
Ge3 0.500 0.000 0.250
Ge4 0.500 0.500 0.000

---

## ZrNiGe3 (GGA-PBE)

Data for a geometry-optimized ZrNiGe3 structure.

**Total DFT energy (no corrections)**: -4.644 eV per atom

Cell: 5.147 5.147 5.147 Å, 90.00 90.00 90.00°
Atoms (fractional coordinates):
Zr1 0.000 0.000 0.000
Ni1 0.500 0.500 0.500
Ge1 0.000 0.000 0.500
Ge2 0.000 0.500 0.000
Ge3 0.500 0.000 0.000

---

## ZrNi9Ge2 (GGA-PBE)

Data for a geometry-optimized ZrNi9Ge2 structure.

**Total DFT energy (no corrections)**: -5.971 eV per atom

Cell: 8.282 8.282 8.282 Å, 33.37 33.37 33.37°
Atoms (fractional coordinates):
Zr1 0.000 0.000 0.000
Ni1 0.081 0.588 0.588
Ni2 0.334 0.334 0.334
Ni3 0.412 0.412 0.919
Ni4 0.412 0.919 0.412
Ni5 0.500 0.500 0.500
Ni6 0.588 0.081 0.588
Ni7 0.588 0.588 0.081
Ni8 0.666 0.666 0.666
Ni9 0.919 0.412 0.412
Ge1 0.134 0.134 0.134
Ge2 0.866 0.866 0.866

---

## ZrNi2Ge2 (GGA-PBE)

Data for a geometry-optimized ZrNi2Ge2 structure.

**Total DFT energy (no corrections)**: -6.193 eV per atom

Cell: 7.246 7.246 2.807 Å, 90.00 90.00 90.00°
Atoms (fractional coordinates):
Zr1 0.000 0.000 0.000
Zr2 0.500 0.500 0.000
Ni1 0.147 0.353 0.500
Ni2 0.353 0.853 0.500
Ni3 0.647 0.147 0.500
Ni4 0.853 0.647 0.500
Ge1 0.144 0.644 0.000
Ge2 0.356 0.144 0.000
Ge3 0.644 0.856 0.000
Ge4 0.856 0.356 0.000

---

DOS(E_F) readings, ordered: 0.5084; 0.6132; 0.8280; 0.6318; 0.7112; 0.7768; 1.0314; 1.4969; 0.9326; 0.5520 states/eV/atom